## Cr4ReHg (PBE)

Data for crystalline Cr4ReHg at its relaxed geometry.

Formation enthalpy at 0 K: 0.319 eV/atom
Magnetic moment: 0.0 μB/f.u.
SG: F-43m

Geometry as POSCAR:
```
Cr4ReHg
1.0
-0.452 -4.602 1.445
1.114 -1.230 4.552
-3.510 -1.231 3.104
Cr Re Hg
4 1 1
direct
0.624 0.624 0.129
0.624 0.129 0.624
0.624 0.624 0.624
0.129 0.624 0.624
0.000 0.000 0.000
0.250 0.250 0.250
```

---

## Cr3ReHg (PBE)

Data for crystalline Cr3ReHg at its relaxed geometry.

Energy above the lowest structure with this stoichiometry: 978.8 meV per atom
Formation enthalpy at 0 K: 2.265 eV/atom
Magnetic moment: 8.8 μB/f.u.
SG: Pm-3m

Geometry as POSCAR:
```
Cr3ReHg
1.0
4.941 0.000 0.000
0.000 4.941 0.000
0.000 0.000 4.941
Re Hg Cr
1 1 3
direct
0.500 0.500 0.500
0.000 0.000 0.000
0.000 0.500 0.000
0.000 0.000 0.500
0.500 0.000 0.000
```

---

## CrReHg4 (PBE)

Data for crystalline CrReHg4 at its relaxed geometry.

Formation enthalpy at 0 K: 1.098 eV/atom
Magnetic moment: 1.2 μB/f.u.
SG: F-43m

Geometry as POSCAR:
```
CrReHg4
1.0
1.668 -0.354 5.368
1.701 4.623 2.732
-3.193 2.188 4.092
Cr Re Hg
1 1 4
direct
0.000 0.000 0.000
0.750 0.750 0.750
0.875 0.375 0.375
0.375 0.375 0.875
0.375 0.875 0.375
0.375 0.375 0.375
```

---

## ZnCr2ReHg (PBE)

Data for crystalline ZnCr2ReHg at its relaxed geometry.

Formation enthalpy at 0 K: 2.664 eV/atom
Magnetic moment: 2.4 μB/f.u.
SG: P4/mmm

Geometry as POSCAR:
```
ZnCr2ReHg
1.0
4.750 0.000 0.000
0.000 5.028 0.000
0.000 0.000 4.750
Re Zn Hg Cr
1 1 1 2
direct
0.000 0.500 0.000
0.500 0.500 0.500
0.000 0.000 0.000
0.000 0.000 0.500
0.500 0.000 0.000
```